No. 1
Density functional theory data (PBE) for an optimized crystal structure of K2TbThSe4.

a = 4.2331 Å, b = 7.3446 Å, c = 8.1349 Å
α = 107.38°, β = 90.00°, γ = 90.00°
Positions (direct):
Th1 0.0000 0.0000 0.0000
Se1 0.0000 0.7343 0.2096
Se2 0.5000 0.2423 0.2144
Se3 0.0000 0.2657 0.7904
Se4 0.5000 0.7577 0.7856
Tb1 0.5000 0.5000 0.0000
K1 0.0000 0.5000 0.5000
K2 0.5000 0.0000 0.5000

Output
Symmetry: P2/m (10)

No. 2
Density functional theory data (PBE) for an optimized crystal structure of K4TbTh3Se8.

a = 8.4648 Å, b = 9.2317 Å, c = 8.4651 Å
α = 117.30°, β = 120.00°, γ = 90.00°
Positions (direct):
Se1 0.2601 0.2804 0.5202
Se2 0.7641 0.2862 0.0220
Se3 0.7399 0.7196 0.4798
Se4 0.7421 0.7138 0.9780
Se5 0.7641 0.2862 0.5282
Se6 0.2359 0.7138 0.9780
Se7 0.2579 0.2862 0.0220
Se8 0.2359 0.7138 0.4718
Th1 0.0000 0.5000 0.5000
Th2 0.5000 0.5000 0.5000
Th3 0.5000 0.5000 0.0000
K1 0.0000 0.0000 0.0000
K2 0.5000 0.0000 0.5000
K3 0.5000 0.0000 0.0000
K4 0.0000 0.0000 0.5000
Tb1 0.0000 0.5000 0.0000

Output
Symmetry: R-3m (166)

No. 3
Density functional theory data (PBE) for an optimized crystal structure of K4Tb3ThSe8.

a = 8.4669 Å, b = 9.1355 Å, c = 8.4677 Å
α = 117.62°, β = 120.00°, γ = 90.00°
Positions (direct):
Th1 0.0000 0.5000 0.0000
Se1 0.7623 0.2901 0.0277
Se2 0.2377 0.7099 0.4754
Se3 0.7623 0.2901 0.5246
Se4 0.2644 0.2935 0.5289
Se5 0.2654 0.2901 0.0277
Se6 0.7346 0.7099 0.9723
Se7 0.7356 0.7065 0.4711
Se8 0.2377 0.7099 0.9723
K1 0.5000 0.0000 0.5000
K2 0.5000 0.0000 0.0000
K3 0.0000 0.0000 0.5000
K4 0.0000 0.0000 0.0000
Tb1 0.0000 0.5000 0.5000
Tb2 0.5000 0.5000 0.0000
Tb3 0.5000 0.5000 0.5000

Output
Symmetry: R-3m (166)

No. 4
Density functional theory data (PBE) for an optimized crystal structure of K3TbTh3Se8.

a = 8.4613 Å, b = 8.4602 Å, c = 9.2868 Å
α = 117.10°, β = 90.00°, γ = 120.00°
Positions (direct):
Se1 0.2606 0.5213 0.2821
Se2 0.2341 0.9733 0.7072
Se3 0.2608 0.0267 0.2928
Se4 0.7659 0.5318 0.2928
Se5 0.7392 0.9733 0.7072
Se6 0.2341 0.4682 0.7072
Se7 0.7394 0.4787 0.7179
Se8 0.7659 0.0267 0.2928
K1 0.5000 0.5000 0.0000
K2 0.0000 0.5000 0.0000
K3 0.0000 0.0000 0.0000
Th1 0.0000 0.5000 0.5000
Th2 0.5000 0.0000 0.5000
Th3 0.5000 0.5000 0.5000
Tb1 0.0000 0.0000 0.5000

Output
Symmetry: R-3m (166)

No. 5
Density functional theory data (PBE) for an optimized crystal structure of KTb4TmSe8.

a = 8.6181 Å, b = 8.6181 Å, c = 8.5592 Å
α = 59.77°, β = 59.77°, γ = 60.00°
Positions (direct):
Se1 0.2318 0.7970 0.7395
Se2 0.7597 0.2258 0.2549
Se3 0.7575 0.7575 0.7275
Se4 0.7970 0.2318 0.7395
Se5 0.2258 0.7597 0.2549
Se6 0.7597 0.7597 0.2549
Se7 0.2318 0.2318 0.7395
Se8 0.2355 0.2355 0.2936
Tm1 0.0046 0.0046 0.9861
Tb1 0.0049 0.0049 0.5048
Tb2 0.4853 0.0049 0.5048
Tb3 0.6245 0.6245 0.1266
Tb4 0.0049 0.4853 0.5048
K1 0.3772 0.3772 0.8684

Output
Symmetry: R3m (160)

No. 6
Density functional theory data (PBE) for an optimized crystal structure of K4Tb3TmSe8.

a = 8.4285 Å, b = 9.0952 Å, c = 8.4286 Å
α = 117.61°, β = 120.00°, γ = 90.00°
Positions (direct):
Tb1 0.5000 0.5000 0.5000
Tb2 0.5000 0.5000 0.0000
Tb3 0.0000 0.5000 0.5000
Se1 0.7669 0.2954 0.5339
Se2 0.2614 0.2954 0.0284
Se3 0.2645 0.2937 0.5291
Se4 0.2331 0.7046 0.9716
Se5 0.7386 0.7046 0.9716
Se6 0.7355 0.7063 0.4709
Se7 0.7669 0.2954 0.0284
Se8 0.2331 0.7046 0.4661
K1 0.0000 0.0000 0.5000
K2 0.5000 0.0000 0.0000
K3 0.5000 0.0000 0.5000
K4 0.0000 0.0000 0.0000
Tm1 0.0000 0.5000 0.0000

Output
Symmetry: R-3m (166)

No. 7
Density functional theory data (PBE) for an optimized crystal structure of K3Tb2TmSe6.

a = 7.2888 Å, b = 7.2888 Å, c = 8.0578 Å
α = 98.67°, β = 98.67°, γ = 120.00°
Positions (direct):
Se1 0.2609 0.2609 0.7951
Se2 0.0682 0.3975 0.2047
Se3 0.6025 0.9318 0.7953
Se4 0.7391 0.7391 0.2049
Se5 0.3975 0.0682 0.2047
Se6 0.9318 0.6025 0.7953
K1 0.1675 0.8325 0.5000
K2 0.8325 0.1675 0.5000
K3 0.5000 0.5000 0.5000
Tb1 0.6666 0.3334 0.0000
Tb2 0.3334 0.6666 0.0000
Tm1 0.0000 0.0000 0.0000

Output
Symmetry: C2/m (12)

No. 8
Density functional theory data (PBE) for an optimized crystal structure of K2TbUSe6.

a = 7.7114 Å, b = 7.7293 Å, c = 10.9470 Å
α = 90.00°, β = 90.05°, γ = 90.00°
Positions (direct):
K1 0.0023 0.9855 0.2502
K2 0.4977 0.4855 0.2498
K3 0.9977 0.0145 0.7498
K4 0.5023 0.5145 0.7502
Se1 0.5266 0.0024 0.2567
Se2 0.2195 0.2331 0.0134
Se3 0.0266 0.4976 0.7567
Se4 0.7805 0.7669 0.9866
Se5 0.7668 0.7803 0.5138
Se6 0.4734 0.9976 0.7433
Se7 0.2805 0.7331 0.4866
Se8 0.9734 0.5024 0.2433
Se9 0.2668 0.7197 0.0138
Se10 0.7332 0.2803 0.9862
Se11 0.7195 0.2669 0.5134
Se12 0.2332 0.2197 0.4862
Tb1 0.5000 0.0000 0.0000
Tb2 0.0000 0.5000 0.5000
U1 0.5000 0.0000 0.5000
U2 0.0000 0.5000 0.0000

Output
Symmetry: P2_1/c (14)

no.,uncorrected energy (eV per atom),E_form (uncorrected) (kJ/mol of atoms)
1,-5.17,-158.79
2,-5.29,-153.50
3,-5.06,-164.65
4,-5.51,-157.93
5,-5.46,-168.73
6,-4.93,-170.05
7,-4.92,-169.95
8,-5.11,-116.25